Version 1
A PBEsol-optimized structure of LiCuPO4, computed with SCAN.

Unit cell a=5.033 b=6.795 c=9.310 alpha=90.00 beta=90.00 gamma=89.04
Sites, in units of the cell vectors:
O: 0.308 0.577 0.686
O: 0.797 0.449 0.888
Cu: 0.729 0.023 0.614
O: 0.192 0.923 0.186
O: 0.624 0.746 0.125
O: 0.376 0.254 0.875
Li: 0.813 0.969 0.185
O: 0.808 0.077 0.814
P: 0.177 0.737 0.592
O: 0.297 0.949 0.612
O: 0.692 0.423 0.314
O: 0.738 0.195 0.068
O: 0.203 0.551 0.112
O: 0.262 0.805 0.932
P: 0.823 0.263 0.408
O: 0.238 0.695 0.432
Cu: 0.271 0.977 0.386
P: 0.323 0.763 0.092
Cu: 0.771 0.477 0.114
P: 0.677 0.237 0.908
Li: 0.313 0.469 0.315
Li: 0.187 0.031 0.815
Li: 0.687 0.531 0.685
O: 0.762 0.305 0.568
O: 0.703 0.051 0.388
O: 0.876 0.754 0.625
Cu: 0.229 0.523 0.886
O: 0.124 0.246 0.375

Summary:
Total magnetization: 0.144 μB/atom

=====

Version 2
A PBEsol-optimized structure of LiCuPO4, computed with SCAN.

Unit cell a=5.521 b=6.212 c=9.369 alpha=70.14 beta=80.92 gamma=83.12
Sites, in units of the cell vectors:
Li: 0.400 0.073 0.320
O: 0.870 0.709 0.649
O: 0.299 0.509 0.686
O: 0.756 0.062 0.370
Li: 0.656 0.468 0.668
Li: 0.344 0.532 0.332
Cu: 0.993 0.887 0.271
O: 0.784 0.230 0.574
O: 0.701 0.491 0.314
Cu: 0.216 0.374 0.915
O: 0.244 0.938 0.630
Cu: 0.007 0.113 0.729
O: 0.215 0.074 0.885
O: 0.216 0.770 0.426
O: 0.120 0.671 0.942
P: 0.703 0.182 0.023
O: 0.562 0.761 0.917
O: 0.880 0.329 0.058
O: 0.438 0.239 0.083
P: 0.855 0.270 0.397
O: 0.268 0.781 0.150
O: 0.732 0.219 0.850
Cu: 0.784 0.626 0.085
Li: 0.600 0.927 0.680
P: 0.297 0.818 0.977
O: 0.130 0.291 0.351
P: 0.145 0.730 0.603
O: 0.785 0.926 0.115

Summary:
Total magnetization: 0.142 μB/atom

=====

Most stable = version 2

=====

Version 1
A PBEsol-optimized structure of Be2ReP, computed with SCAN.

Unit cell a=2.553 b=2.553 c=7.219 alpha=90.00 beta=90.00 gamma=90.00
Sites, in units of the cell vectors:
Be: 0.000 0.000 0.255
Re: 0.500 0.500 0.500
P: 0.500 0.500 0.000
Be: 0.000 0.000 0.745

Summary:
Total magnetization: 0.000 μB/atom
N(E_F): 1.90 states/eV/f.u.

=====

Version 2
A PBEsol-optimized structure of Be2ReP, computed with SCAN.

Unit cell a=2.927 b=3.419 c=4.365 alpha=90.00 beta=90.00 gamma=90.00
Sites, in units of the cell vectors:
Be: 0.500 0.000 0.233
Be: 0.500 0.000 0.767
Re: 0.000 0.500 0.000
P: 0.500 0.500 0.500

Summary:
Total magnetization: 0.000 μB/atom
N(E_F): 1.50 states/eV/f.u.

=====

Most stable = version 2

=====

Version 1
A PBEsol-optimized structure of Mg2CdAg, computed with SCAN.

Unit cell a=3.150 b=5.098 c=5.232 alpha=101.62 beta=90.00 gamma=108.00
Sites, in units of the cell vectors:
Cd: 0.000 0.000 0.500
Mg: 0.756 0.513 0.757
Ag: 0.500 0.000 0.000
Mg: 0.244 0.487 0.243

Summary:
Total magnetization: 0.000 μB/atom
N(E_F): 1.41 states/eV/f.u.

=====

Version 2
A PBEsol-optimized structure of Mg2CdAg, computed with SCAN.

Unit cell a=4.753 b=4.753 c=4.753 alpha=60.00 beta=60.00 gamma=60.00
Sites, in units of the cell vectors:
Mg: 0.250 0.250 0.250
Ag: 0.000 0.000 0.000
Cd: 0.500 0.500 0.500
Mg: 0.750 0.750 0.750

Summary:
Total magnetization: 0.000 μB/atom
N(E_F): 0.96 states/eV/f.u.

=====

Most stable = version 2

=====

Version 1
A PBEsol-optimized structure of LaCu2Tc, computed with SCAN.

Unit cell a=3.957 b=3.957 c=4.155 alpha=90.00 beta=90.00 gamma=90.00
Sites, in units of the cell vectors:
Cu: 0.500 0.000 0.000
Tc: 0.000 0.000 0.500
Cu: 0.000 0.500 0.000
La: 0.500 0.500 0.500

Summary:
Total magnetization: 0.222 μB/atom
N(E_F): 2.85 states/eV/f.u.

=====

Version 2
A PBEsol-optimized structure of LaCu2Tc, computed with SCAN.

Unit cell a=3.526 b=4.533 c=5.024 alpha=116.82 beta=110.54 gamma=90.00
Sites, in units of the cell vectors:
Cu: 0.730 0.230 0.460
Cu: 0.009 0.009 0.019
La: 0.502 0.502 0.003
Tc: 0.259 0.759 0.518

Summary:
Total magnetization: 0.000 μB/atom
N(E_F): 2.48 states/eV/f.u.

=====

Most stable = version 1

=====

Version 1
A PBEsol-optimized structure of In2ReW, computed with SCAN.

Unit cell a=2.992 b=4.976 c=4.988 alpha=100.39 beta=107.45 gamma=90.00
Sites, in units of the cell vectors:
Re: 0.500 0.000 0.000
In: 0.248 0.247 0.495
In: 0.752 0.753 0.505
W: 0.000 0.500 0.000

Summary:
Total magnetization: 0.000 μB/atom
N(E_F): 2.70 states/eV/f.u.

=====

Version 2
A PBEsol-optimized structure of In2ReW, computed with SCAN.

Unit cell a=3.986 b=3.986 c=4.398 alpha=90.00 beta=90.00 gamma=90.00
Sites, in units of the cell vectors:
Re: 0.500 0.500 0.500
In: 0.500 0.000 0.000
In: 0.000 0.500 0.000
W: 0.000 0.000 0.500

Summary:
Total magnetization: 0.000 μB/atom
N(E_F): 3.01 states/eV/f.u.

=====

Most stable = version 1

=====

Version 1
A PBEsol-optimized structure of KBa3, computed with SCAN.

Unit cell a=4.386 b=4.386 c=14.994 alpha=81.59 beta=81.59 gamma=60.00
Sites, in units of the cell vectors:
K: 0.000 0.000 0.000
Ba: 0.753 0.753 0.741
Ba: 0.500 0.500 0.500
Ba: 0.247 0.247 0.259

Summary:
Total magnetization: 0.048 μB/atom
N(E_F): 5.46 states/eV/f.u.

=====

Version 2
A PBEsol-optimized structure of KBa3, computed with SCAN.

Unit cell a=4.259 b=4.259 c=14.409 alpha=90.00 beta=90.00 gamma=110.91
Sites, in units of the cell vectors:
K: 0.500 0.500 0.500
Ba: 0.000 0.000 0.760
Ba: 0.000 0.000 0.240
Ba: 0.500 0.500 0.000

Summary:
Total magnetization: 0.000 μB/atom
N(E_F): 5.14 states/eV/f.u.

=====

Most stable = version 2

=====

Version 1
A PBEsol-optimized structure of SbPb2Cl, computed with SCAN.

Unit cell a=3.556 b=3.942 c=7.715 alpha=90.00 beta=90.00 gamma=90.00
Sites, in units of the cell vectors:
Cl: 0.500 0.500 0.500
Pb: 0.000 0.000 0.753
Pb: 0.000 0.000 0.247
Sb: 0.500 0.500 0.000

Summary:
Total magnetization: 0.000 μB/atom
N(E_F): 1.40 states/eV/f.u.

=====

Version 2
A PBEsol-optimized structure of SbPb2Cl, computed with SCAN.

Unit cell a=3.431 b=5.806 c=5.811 alpha=90.00 beta=90.00 gamma=90.09
Sites, in units of the cell vectors:
Pb: 0.902 0.375 0.500
Cl: 0.006 0.875 0.500
Sb: 0.498 0.375 0.000
Pb: 0.094 0.875 0.000

Summary:
Total magnetization: 0.000 μB/atom
N(E_F): 1.48 states/eV/f.u.

=====

Most stable = version 2

=====

Version 1
A PBEsol-optimized structure of LiLaCr2, computed with SCAN.

Unit cell a=4.716 b=4.716 c=4.716 alpha=60.00 beta=60.00 gamma=60.00
Sites, in units of the cell vectors:
Cr: 0.000 0.000 0.000
Cr: 0.750 0.750 0.750
Li: 0.250 0.250 0.250
La: 0.500 0.500 0.500

Summary:
Total magnetization: 0.108 μB/atom
N(E_F): 3.01 states/eV/f.u.

=====

Version 2
A PBEsol-optimized structure of LiLaCr2, computed with SCAN.

Unit cell a=3.036 b=3.035 c=7.937 alpha=89.97 beta=90.00 gamma=90.00
Sites, in units of the cell vectors:
Li: 0.500 0.501 0.816
La: 0.000 0.999 0.465
Cr: 0.000 0.001 0.047
Cr: 0.500 0.500 0.172

Summary:
Total magnetization: 0.134 μB/atom
N(E_F): 3.32 states/eV/f.u.

=====

Most stable = version 1

=====

Version 1
A PBEsol-optimized structure of TiFe3Pb, computed with SCAN.

Unit cell a=4.734 b=4.734 c=4.734 alpha=90.00 beta=90.00 gamma=90.00
Sites, in units of the cell vectors:
Pb: 0.000 0.000 0.000
Fe: 0.000 0.000 0.500
Fe: 0.000 0.500 0.000
Ti: 0.500 0.500 0.500
Fe: 0.500 0.000 0.000

Summary:
Total magnetization: 1.313 μB/atom
N(E_F): 3.57 states/eV/f.u.

=====

Version 2
A PBEsol-optimized structure of TiFe3Pb, computed with SCAN.

Unit cell a=4.374 b=4.374 c=4.374 alpha=90.00 beta=90.00 gamma=90.00
Sites, in units of the cell vectors:
Fe: 0.500 0.000 0.000
Fe: 0.000 0.000 0.500
Pb: 0.500 0.500 0.500
Ti: 0.000 0.000 0.000
Fe: 0.000 0.500 0.000

Summary:
Total magnetization: 1.175 μB/atom
N(E_F): 3.18 states/eV/f.u.

=====

Most stable = version 2

=====

Version 1
A PBEsol-optimized structure of ScTcOs2, computed with SCAN.

Unit cell a=4.386 b=4.386 c=4.386 alpha=60.00 beta=60.00 gamma=60.00
Sites, in units of the cell vectors:
Sc: 0.500 0.500 0.500
Tc: 0.250 0.250 0.250
Os: 0.000 0.000 0.000
Os: 0.750 0.750 0.750

Summary:
Total magnetization: 0.000 μB/atom
N(E_F): 3.92 states/eV/f.u.

=====

Version 2
A PBEsol-optimized structure of ScTcOs2, computed with SCAN.

Unit cell a=4.055 b=4.055 c=4.642 alpha=115.90 beta=115.90 gamma=90.00
Sites, in units of the cell vectors:
Os: 0.250 0.750 0.500
Sc: 0.500 0.500 0.000
Os: 0.750 0.250 0.500
Tc: 0.000 0.000 0.000

Summary:
Total magnetization: 0.000 μB/atom
N(E_F): 5.20 states/eV/f.u.

=====

Most stable = version 1

=====

Version 1
A PBEsol-optimized structure of YZrAu2, computed with SCAN.

Unit cell a=3.457 b=4.889 c=4.889 alpha=90.00 beta=90.00 gamma=90.00
Sites, in units of the cell vectors:
Au: 0.000 0.500 0.000
Y: 0.500 0.500 0.500
Zr: 0.500 0.000 0.000
Au: 0.000 0.000 0.500

Summary:
Total magnetization: 0.000 μB/atom
N(E_F): 2.97 states/eV/f.u.

=====

Version 2
A PBEsol-optimized structure of YZrAu2, computed with SCAN.

Unit cell a=4.892 b=4.892 c=4.892 alpha=60.00 beta=60.00 gamma=60.00
Sites, in units of the cell vectors:
Au: 0.250 0.250 0.250
Zr: 0.500 0.500 0.500
Au: 0.750 0.750 0.750
Y: 0.000 0.000 0.000

Summary:
Total magnetization: 0.000 μB/atom
N(E_F): 3.54 states/eV/f.u.

=====

Most stable = version 1

=====

Version 1
A PBEsol-optimized structure of LiAg2, computed with SCAN.

Unit cell a=8.030 b=8.030 c=8.030 alpha=60.00 beta=60.00 gamma=60.00
Sites, in units of the cell vectors:
Ag: 0.938 0.562 0.562
Ag: 0.938 0.938 0.562
Li: 0.342 0.342 0.342
Ag: 0.125 0.625 0.125
Ag: 0.312 0.688 0.312
Li: 0.973 0.342 0.342
Ag: 0.688 0.312 0.312
Ag: 0.312 0.312 0.688
Li: 0.342 0.973 0.342
Ag: 0.688 0.312 0.688
Ag: 0.562 0.938 0.562
Li: 0.908 0.908 0.908
Li: 0.342 0.342 0.973
Li: 0.908 0.908 0.277
Ag: 0.625 0.125 0.125
Ag: 0.938 0.562 0.938
Ag: 0.562 0.938 0.938
Ag: 0.562 0.562 0.938
Ag: 0.688 0.688 0.312
Li: 0.277 0.908 0.908
Ag: 0.125 0.125 0.625
Ag: 0.312 0.688 0.688
Li: 0.908 0.277 0.908
Ag: 0.125 0.125 0.125

Summary:
Total magnetization: 0.000 μB/atom
N(E_F): 0.51 states/eV/f.u.

=====

Version 2
A PBEsol-optimized structure of LiAg2, computed with SCAN.

Unit cell a=4.665 b=4.852 c=4.852 alpha=61.09 beta=90.00 gamma=90.00
Sites, in units of the cell vectors:
Li: 0.250 0.825 0.175
Ag: 0.750 0.493 0.171
Ag: 0.250 0.171 0.493
Ag: 0.250 0.507 0.829
Ag: 0.750 0.829 0.507
Li: 0.750 0.175 0.825

Summary:
Total magnetization: 0.000 μB/atom
N(E_F): 0.70 states/eV/f.u.

=====

Most stable = version 2